[1]
Density functional theory data (GGA-PBE) for a geometry-optimized CuP2Pb structure.

Cell and atoms, written as extended XYZ:
```
8
Lattice="4.4496 0.0000 0.0000 0.0000 4.4496 0.0000 0.0000 0.0000 7.5034" Properties=species:S:1:pos:R:3 pbc="T T T"
Cu 0.0000 0.0000 0.0000
Cu 2.2248 2.2248 3.7517
P 0.0000 0.0000 3.7517
P 0.0000 2.2248 5.6275
P 2.2248 0.0000 1.8758
P 2.2248 2.2248 0.0000
Pb 0.0000 2.2248 1.8758
Pb 2.2248 0.0000 5.6275
```

Output
Final energy (Ha/atom): -0.1475
Density (g/cm3): 7.4
Energy relative to the elements (meV/atom): 643

[2]
Density functional theory data (GGA-PBE) for a geometry-optimized SmTlPb structure.

Cell and atoms, written as extended XYZ:
```
3
Lattice="4.9354 0.0000 0.0000 -2.4677 4.2742 0.0000 0.0000 0.0000 4.3008" Properties=species:S:1:pos:R:3 pbc="T T T"
Sm 0.0000 0.0000 0.0000
Tl 0.0000 2.8494 2.8828
Pb 2.4677 1.4247 1.6008
```

Output
Offset from the most stable computed form (meV/atom): 71
Final energy (Ha/atom): -0.1425
Density (g/cm3): 10.3
Energy relative to the elements (meV/atom): -279

[3]
Density functional theory data (GGA-PBE) for a geometry-optimized LiPu2Zn3Au4 structure.

Cell and atoms, written as extended XYZ:
```
10
Lattice="4.1399 0.0000 0.0000 0.0000 4.1399 0.0000 0.0000 0.0000 11.8396" Properties=species:S:1:pos:R:3 pbc="T T T"
Li 0.0000 0.0000 0.0000
Pu 0.0000 2.0700 8.8291
Pu 2.0700 0.0000 3.0105
Zn 0.0000 2.0700 4.2943
Zn 2.0700 0.0000 7.5453
Zn 2.0700 2.0700 0.0000
Au 0.0000 0.0000 5.9198
Au 0.0000 2.0700 1.7131
Au 2.0700 0.0000 10.1265
Au 2.0700 2.0700 5.9198
```

Output
Final energy (Ha/atom): -0.1865
Density (g/cm3): 12.1
Energy relative to the elements (meV/atom): -325

[4]
Density functional theory data (GGA-PBE) for a geometry-optimized Ce2PtRh structure.

Cell and atoms, written as extended XYZ:
```
4
Lattice="3.5311 0.0000 0.0000 0.0000 3.5311 0.0000 0.0000 0.0000 7.0230" Properties=species:S:1:pos:R:3 pbc="T T T"
Ce 0.0000 0.0000 1.7084
Ce 0.0000 0.0000 5.3146
Pt 1.7656 1.7656 3.5115
Rh 1.7656 1.7656 0.0000
```

Output
Final energy (Ha/atom): -0.2622
Density (g/cm3): 11.0
Energy relative to the elements (meV/atom): -820

[5]
Density functional theory data (GGA-PBE) for a geometry-optimized Ta6Ti2Sn structure.

Cell and atoms, written as extended XYZ:
```
9
Lattice="3.6605 -7.2167 0.0000 3.6605 7.2167 0.0000 -0.6621 0.0000 3.1760" Properties=species:S:1:pos:R:3 pbc="T T T"
Ta 2.3586 4.8358 0.5566
Ta 0.9374 0.0000 1.0375
Ta 4.3002 4.8358 2.6194
Ta 2.3586 -4.8358 0.5566
Ta 5.7213 0.0000 2.1385
Ta 4.3002 -4.8358 2.6194
Ti 3.3294 2.4459 1.5880
Ti 3.3294 -2.4459 1.5880
Sn 3.6605 0.0000 0.0000
```

Output
Final energy (Ha/atom): -0.3680
Density (g/cm3): 12.9
Energy relative to the elements (meV/atom): 87

[6]
Density functional theory data (GGA-PBE) for a geometry-optimized Co2HgPt2 structure.

Cell and atoms, written as extended XYZ:
```
10
Lattice="3.4910 0.0000 0.0000 0.0000 3.4910 0.0000 0.0000 0.0000 13.1657" Properties=species:S:1:pos:R:3 pbc="T T T"
Co 0.0000 1.7455 3.2914
Co 0.0000 1.7455 9.8743
Co 1.7455 0.0000 3.2914
Co 1.7455 0.0000 9.8743
Hg 0.0000 0.0000 0.0000
Hg 1.7455 1.7455 6.5829
Pt 0.0000 0.0000 5.1504
Pt 0.0000 0.0000 8.0153
Pt 1.7455 1.7455 1.4324
Pt 1.7455 1.7455 11.7333
```

Output
Offset from the most stable computed form (meV/atom): 88
Final energy (Ha/atom): -0.1876
Density (g/cm3): 14.7
Energy relative to the elements (meV/atom): 215